Y2MgBeAs: relaxed, GGA-PBE.

abc: 5.535 4.162 5.535
angles: 90.00 90.00 90.00
Fractional positions:
As  0.000  0.000  0.000
Mg  0.500  0.500  0.500
Be  0.000  0.500  0.000
Y  0.000  0.000  0.500
Y  0.500  0.000  0.000

Total moment   0.00 μB per cell
E   -23.681 eV/cell
Space group   P4/mmm
Calculated density   3.725 g/cm³
Energy of formation   -15.1 kJ/mol of atoms



YMg2BeAs: relaxed, GGA-PBE.

abc: 4.913 5.424 4.913
angles: 90.00 90.00 90.00
Fractional positions:
Mg  0.500  0.000  0.000
Mg  0.000  0.000  0.500
Y  0.000  0.500  0.000
Be  0.500  0.500  0.500
As  0.000  0.000  0.000

Total moment   0.00 μB per cell
E   -16.821 eV/cell
Space group   P4/mmm
Calculated density   2.809 g/cm³
Energy of formation   23.3 kJ/mol of atoms



Mn3BeAs: relaxed, GGA-PBE.

abc: 4.182 4.182 4.182
angles: 90.00 90.00 90.00
Each line ends with the local moment (μB).
Fractional positions:
Be  0.000  0.000  0.000  -0.19
Mn  0.000  0.500  0.000  3.37
Mn  0.000  0.000  0.500  3.59
Mn  0.500  0.000  0.000  3.11
As  0.500  0.500  0.500  -0.06

Total moment   10.25 μB per cell
E   -33.804 eV/cell
Space group   Pm-3m
Calculated density   5.647 g/cm³
Energy of formation   40.1 kJ/mol of atoms